# 1
Material: YCu3Hg
Method: DFT, GGA-PBE
State: optimized geometry

It has space group Pm-3m (No. 221), with a = 5.2732 Å, b = 5.2732 Å, c = 5.2732 Å, α = 90.00°, β = 90.00° and γ = 90.00°. The distinct sites, in fractional coordinates, are Y at (0.0000, 0.0000, 0.0000), Cu at (0.0000, 0.0000, 0.5000) and Hg at (0.5000, 0.5000, 0.5000).

The calculated volume is 29.3 A^3/atom. The value obtained for the total energy is -13.774 eV/cell. The value obtained for the formation energy is 510 kJ/mol of formula units. The size of the total moment comes out at 0.000 μB/atom. For the relative energy among the computed polymorphs, the calculation gives 0.6014 eV per atom.

---

# 2
Material: YCuHg
Method: DFT, GGA-PBE
State: optimized geometry

It has space group P-6m2 (No. 187), with a = 4.6101 Å, b = 4.6101 Å, c = 3.5137 Å, α = 90.00°, β = 90.00° and γ = 120.00°. The distinct sites, in fractional coordinates, are Y at (0.0000, 0.0000, 0.0000), Cu at (0.6667, 0.3333, 0.5000) and Hg at (0.3333, 0.6667, 0.5000).

The calculated volume is 21.6 A^3/atom. The value obtained for the total energy is -11.823 eV/cell. The value obtained for the formation energy is -93 kJ/mol of formula units. The size of the total moment comes out at 0.000 μB/atom.

---

# 3
Material: YCu2Hg
Method: DFT, GGA-PBE
State: optimized geometry

It has space group F-43m (No. 216), with a = 6.7263 Å, b = 6.7263 Å, c = 6.7263 Å, α = 90.00°, β = 90.00° and γ = 90.00°. The distinct sites, in fractional coordinates, are Y at (0.0000, 0.0000, 0.0000), Cu at (0.0000, 0.0000, 0.5000), Cu at (0.2500, 0.2500, 0.2500) and Hg at (0.2500, 0.2500, 0.7500).

The calculated volume is 19.0 A^3/atom. The value obtained for the total energy is -61.409 eV/cell. The value obtained for the formation energy is -38 kJ/mol of formula units. The size of the total moment comes out at 0.000 μB/atom.

---

# 4
Material: YCu5Hg
Method: DFT, GGA-PBE
State: optimized geometry

It has space group Pnma (No. 62), with a = 8.2969 Å, b = 5.0344 Å, c = 10.5128 Å, α = 90.00°, β = 90.00° and γ = 90.00°. The distinct sites, in fractional coordinates, are Y at (0.2452, 0.2500, 0.0659), Cu at (0.0535, 0.7500, 0.1085), Cu at (0.0689, 0.0008, 0.3142), Cu at (0.0814, 0.2500, 0.5163), Cu at (0.1861, 0.2500, 0.7401) and Hg at (0.1349, 0.7500, 0.8651).

The calculated volume is 15.7 A^3/atom. The value obtained for the total energy is -113.770 eV/cell. The value obtained for the formation energy is -115 kJ/mol of formula units. The size of the total moment comes out at 0.000 μB/atom.

---

# 5
Material: Y6CuHg5
Method: DFT, GGA-PBE
State: optimized geometry

It has space group P2/m (No. 10), with a = 5.2141 Å, b = 7.4285 Å, c = 8.2473 Å, α = 90.00°, β = 108.23° and γ = 90.00°. The distinct sites, in fractional coordinates, are Y at (0.0000, 0.2403, 0.0000), Y at (0.3379, 0.2450, 0.6751), Cu at (0.5000, 0.0000, 0.0000), Hg at (0.1661, 0.0000, 0.3336), Hg at (0.1670, 0.5000, 0.3354) and Hg at (0.5000, 0.5000, 0.0000).

The calculated volume is 25.3 A^3/atom. The value obtained for the total energy is -49.823 eV/cell. The value obtained for the formation energy is -524 kJ/mol of formula units. The size of the total moment comes out at 0.000 μB/atom.

---

# 6
Material: YCuHg
Method: DFT, GGA-PBE
State: optimized geometry

It has space group I4mm (No. 107), with a = 3.7119 Å, b = 3.7119 Å, c = 9.3269 Å, α = 90.00°, β = 90.00° and γ = 90.00°. The distinct sites, in fractional coordinates, are Y at (0.0000, 0.0000, 0.0000), Cu at (0.0000, 0.0000, 0.3362) and Hg at (0.0000, 0.0000, 0.6812).

The calculated volume is 21.4 A^3/atom. The value obtained for the total energy is -23.193 eV/cell. The value obtained for the formation energy is -71 kJ/mol of formula units. The size of the total moment comes out at 0.000 μB/atom.

---

# 7
Material: Y4CuHg
Method: DFT, GGA-PBE
State: optimized geometry

It has space group P2_1/c (No. 14), with a = 7.0679 Å, b = 7.3431 Å, c = 6.9032 Å, α = 90.00°, β = 95.15° and γ = 90.00°. The distinct sites, in fractional coordinates, are Y at (0.1503, 0.1647, 0.1759), Y at (0.3333, 0.6502, 0.1105), Cu at (0.0000, 0.0000, 0.5000) and Hg at (0.5000, 0.0000, 0.0000).

The calculated volume is 29.7 A^3/atom. The value obtained for the total energy is -61.297 eV/cell. The value obtained for the formation energy is -38 kJ/mol of formula units. The size of the total moment comes out at 0.000 μB/atom. For the relative energy among the computed polymorphs, the calculation gives 0.0000 eV per atom.

---

# 8
Material: YCuHg4
Method: DFT, GGA-PBE
State: optimized geometry

It has space group F-43m (No. 216), with a = 8.2950 Å, b = 8.2950 Å, c = 8.2950 Å, α = 90.00°, β = 90.00° and γ = 90.00°. The distinct sites, in fractional coordinates, are Y at (0.0000, 0.0000, 0.0000), Cu at (0.2500, 0.2500, 0.7500) and Hg at (0.1248, 0.1248, 0.3752).

The calculated volume is 23.8 A^3/atom. The value obtained for the total energy is -43.547 eV/cell. The value obtained for the formation energy is 85 kJ/mol of formula units. The size of the total moment comes out at 0.000 μB/atom.

---

# 9
Material: YCuHg
Method: DFT, GGA-PBE
State: optimized geometry

It has space group P2_1/m (No. 11), with a = 4.3613 Å, b = 4.8468 Å, c = 6.3939 Å, α = 90.00°, β = 109.81° and γ = 90.00°. The distinct sites, in fractional coordinates, are Y at (0.1133, 0.2500, 0.2163), Cu at (0.2310, 0.7500, 0.4756) and Hg at (0.4012, 0.2500, 0.7970).

The calculated volume is 21.2 A^3/atom. The value obtained for the total energy is -23.362 eV/cell. The value obtained for the formation energy is -79 kJ/mol of formula units. The size of the total moment comes out at 0.000 μB/atom.

---

# 10
Material: Y3CuHg
Method: DFT, GGA-PBE
State: optimized geometry

It has space group Pm-3m (No. 221), with a = 5.3039 Å, b = 5.3039 Å, c = 5.3039 Å, α = 90.00°, β = 90.00° and γ = 90.00°. The distinct sites, in fractional coordinates, are Y at (0.0000, 0.0000, 0.5000), Cu at (0.0000, 0.0000, 0.0000) and Hg at (0.5000, 0.5000, 0.5000).

The calculated volume is 29.8 A^3/atom. The value obtained for the total energy is -23.459 eV/cell. The value obtained for the formation energy is 32 kJ/mol of formula units. The size of the total moment comes out at 0.480 μB/atom. For the relative energy among the computed polymorphs, the calculation gives 0.0000 eV per atom.

---

# 11
Material: Y2Cu2Hg
Method: DFT, GGA-PBE
State: optimized geometry

It has space group Cmmm (No. 65), with a = 4.1111 Å, b = 14.1574 Å, c = 3.6834 Å, α = 90.00°, β = 90.00° and γ = 90.00°. The distinct sites, in fractional coordinates, are Y at (0.0000, 0.1310, 0.0000), Cu at (0.0000, 0.2980, 0.5000) and Hg at (0.0000, 0.5000, 0.5000).

The calculated volume is 21.4 A^3/atom. The value obtained for the total energy is -46.545 eV/cell. The value obtained for the formation energy is -179 kJ/mol of formula units. The size of the total moment comes out at 0.000 μB/atom.

---

# 12
Material: Y3Cu2Hg4
Method: DFT, GGA-PBE
State: optimized geometry

It has space group C2/m (No. 12), with a = 10.8631 Å, b = 4.6866 Å, c = 8.9101 Å, α = 90.00°, β = 116.32° and γ = 90.00°. The distinct sites, in fractional coordinates, are Y at (0.0000, 0.0000, 0.0000), Y at (0.1715, 0.5000, 0.6538), Cu at (0.0985, 0.5000, 0.2722), Hg at (0.0492, 0.0000, 0.3742) and Hg at (0.2155, 0.5000, 0.0666).

The calculated volume is 22.6 A^3/atom. The value obtained for the total energy is -63.938 eV/cell. The value obtained for the formation energy is -307 kJ/mol of formula units. The size of the total moment comes out at 0.000 μB/atom.

---

# 13
Material: YCu9Hg2
Method: DFT, GGA-PBE
State: optimized geometry

It has space group R-3m (No. 166, hexagonal axes), with a = 5.1086 Å, b = 5.1086 Å, c = 23.9514 Å, α = 90.00°, β = 90.00° and γ = 120.00°. The distinct sites, in fractional coordinates, are Y at (0.0000, 0.0000, 0.0000), Cu at (0.0000, 0.0000, 0.3335), Cu at (0.0000, 0.0000, 0.5000), Cu at (0.0025, 0.5012, 0.9165) and Hg at (0.0000, 0.0000, 0.1399).

The calculated volume is 15.0 A^3/atom. The value obtained for the total energy is -134.204 eV/cell. The value obtained for the formation energy is -77 kJ/mol of formula units. The size of the total moment comes out at 0.000 μB/atom.

---

# 14
Material: Y2Cu3Hg
Method: DFT, GGA-PBE
State: optimized geometry

It has space group Imm2 (No. 44), with a = 3.8632 Å, b = 3.8711 Å, c = 16.6276 Å, α = 90.00°, β = 90.00° and γ = 90.00°. The distinct sites, in fractional coordinates, are Y at (0.0000, 0.0000, 0.0000), Y at (0.0000, 0.5000, 0.2782), Cu at (0.0000, 0.0000, 0.4352), Cu at (0.0000, 0.5000, 0.7051), Cu at (0.0000, 0.5000, 0.8504) and Hg at (0.0000, 0.0000, 0.6005).

The calculated volume is 20.7 A^3/atom. The value obtained for the total energy is -54.029 eV/cell. The value obtained for the formation energy is -144 kJ/mol of formula units. The size of the total moment comes out at 0.000 μB/atom. For the relative energy among the computed polymorphs, the calculation gives 0.0148 eV per atom.

---

# 15
Material: Y12Cu6Hg
Method: DFT, GGA-PBE
State: optimized geometry

It has space group Im-3 (No. 204), with a = 9.8650 Å, b = 9.8650 Å, c = 9.8650 Å, α = 90.00°, β = 90.00° and γ = 90.00°. The distinct sites, in fractional coordinates, are Y at (0.0000, 0.1882, 0.2949), Cu at (0.0000, 0.3760, 0.5000) and Hg at (0.0000, 0.0000, 0.0000).

The calculated volume is 25.3 A^3/atom. The value obtained for the total energy is -212.839 eV/cell. The value obtained for the formation energy is -383 kJ/mol of formula units. The size of the total moment comes out at 0.000 μB/atom.

---

# 16
Material: YCu2Hg
Method: DFT, GGA-PBE
State: optimized geometry

It has space group Imm2 (No. 44), with a = 3.9972 Å, b = 4.7704 Å, c = 8.0412 Å, α = 90.00°, β = 90.00° and γ = 90.00°. The distinct sites, in fractional coordinates, are Y at (0.0000, 0.0000, 0.0000), Cu at (0.0000, 0.0000, 0.4630), Cu at (0.0000, 0.5000, 0.7735) and Hg at (0.0000, 0.5000, 0.2221).

The calculated volume is 19.2 A^3/atom. The value obtained for the total energy is -30.936 eV/cell. The value obtained for the formation energy is -49 kJ/mol of formula units. The size of the total moment comes out at 0.000 μB/atom.

---

# 17
Material: Y6Cu5Hg
Method: DFT, GGA-PBE
State: optimized geometry

It has space group Cmmm (No. 65), with a = 4.9986 Å, b = 14.9583 Å, c = 7.0578 Å, α = 90.00°, β = 90.00° and γ = 90.00°. The distinct sites, in fractional coordinates, are Y at (0.0000, 0.0000, 0.2392), Y at (0.0000, 0.3292, 0.2451), Cu at (0.0000, 0.1649, 0.0000), Cu at (0.0000, 0.1655, 0.5000), Cu at (0.0000, 0.5000, 0.0000) and Hg at (0.0000, 0.5000, 0.5000).

The calculated volume is 22.0 A^3/atom. The value obtained for the total energy is -125.712 eV/cell. The value obtained for the formation energy is -317 kJ/mol of formula units. The size of the total moment comes out at 0.000 μB/atom.

---

# 18
Material: Y2CuHg2
Method: DFT, GGA-PBE
State: optimized geometry

It has space group P4/mbm (No. 127), with a = 7.6821 Å, b = 7.6821 Å, c = 4.4904 Å, α = 90.00°, β = 90.00° and γ = 90.00°. The distinct sites, in fractional coordinates, are Y at (0.1616, 0.3384, 0.0000), Cu at (0.0000, 0.0000, 0.0000) and Hg at (0.1429, 0.6429, 0.5000).

The calculated volume is 26.5 A^3/atom. The value obtained for the total energy is -36.100 eV/cell. The value obtained for the formation energy is -41 kJ/mol of formula units. The size of the total moment comes out at 0.000 μB/atom. For the relative energy among the computed polymorphs, the calculation gives 0.1620 eV per atom.

---

# 19
Material: Y2Cu3Hg
Method: DFT, GGA-PBE
State: optimized geometry

It has space group Fmmm (No. 69), with a = 7.1059 Å, b = 8.9582 Å, c = 15.2375 Å, α = 90.00°, β = 90.00° and γ = 90.00°. The distinct sites, in fractional coordinates, are Y at (0.2430, 0.0000, 0.0000), Y at (0.2500, 0.2500, 0.2500), Cu at (0.0000, 0.0000, 0.1600), Cu at (0.0000, 0.2407, 0.0810) and Hg at (0.0000, 0.0000, 0.3339).

The calculated volume is 20.2 A^3/atom. The value obtained for the total energy is -216.826 eV/cell. The value obtained for the formation energy is -153 kJ/mol of formula units. The size of the total moment comes out at 0.000 μB/atom. For the relative energy among the computed polymorphs, the calculation gives 0.0000 eV per atom.

---

# 20
Material: Y5CuHg4
Method: DFT, GGA-PBE
State: optimized geometry

It has space group P4/mmm (No. 123), with a = 3.6639 Å, b = 3.6639 Å, c = 18.6791 Å, α = 90.00°, β = 90.00° and γ = 90.00°. The distinct sites, in fractional coordinates, are Y at (0.0000, 0.0000, 0.0000), Y at (0.0000, 0.0000, 0.2050), Y at (0.0000, 0.0000, 0.4106), Cu at (0.5000, 0.5000, 0.5000), Hg at (0.5000, 0.5000, 0.1020) and Hg at (0.5000, 0.5000, 0.3069).

The calculated volume is 25.1 A^3/atom. The value obtained for the total energy is -42.085 eV/cell. The value obtained for the formation energy is -430 kJ/mol of formula units. The size of the total moment comes out at 0.000 μB/atom.

---

# 21
Material: Y3Cu8Hg
Method: DFT, GGA-PBE
State: optimized geometry

It has space group R3m (No. 160, hexagonal axes), with a = 5.1945 Å, b = 5.1945 Å, c = 25.6094 Å, α = 90.00°, β = 90.00° and γ = 120.00°. The distinct sites, in fractional coordinates, are Y at (0.0000, 0.0000, 0.0000), Y at (0.0000, 0.0000, 0.1273), Y at (0.0000, 0.0000, 0.5134), Cu at (0.0000, 0.0000, 0.3180), Cu at (0.0000, 0.0000, 0.8194), Cu at (0.0021, 0.5010, 0.0691), Cu at (0.1703, 0.3407, 0.9014) and Hg at (0.0000, 0.0000, 0.6351).

The calculated volume is 16.6 A^3/atom. The value obtained for the total energy is -164.539 eV/cell. The value obtained for the formation energy is -230 kJ/mol of formula units. The size of the total moment comes out at 0.000 μB/atom.

---

# 22
Material: YCu3Hg
Method: DFT, GGA-PBE
State: optimized geometry

It has space group Pm-3m (No. 221), with a = 4.8014 Å, b = 4.8014 Å, c = 4.8014 Å, α = 90.00°, β = 90.00° and γ = 90.00°. The distinct sites, in fractional coordinates, are Y at (0.0000, 0.0000, 0.0000), Cu at (0.0000, 0.5000, 0.5000) and Hg at (0.5000, 0.5000, 0.5000).

The calculated volume is 22.1 A^3/atom. The value obtained for the total energy is -16.781 eV/cell. The value obtained for the formation energy is 219 kJ/mol of formula units. The size of the total moment comes out at 0.000 μB/atom. For the relative energy among the computed polymorphs, the calculation gives 0.0000 eV per atom.

---

# 23
Material: YCuHg
Method: DFT, GGA-PBE
State: optimized geometry

It has space group F-43m (No. 216), with a = 6.7979 Å, b = 6.7979 Å, c = 6.7979 Å, α = 90.00°, β = 90.00° and γ = 90.00°. The distinct sites, in fractional coordinates, are Y at (0.0000, 0.0000, 0.0000), Cu at (0.2500, 0.2500, 0.7500) and Hg at (0.2500, 0.2500, 0.2500).

The calculated volume is 26.2 A^3/atom. The value obtained for the total energy is -41.700 eV/cell. The value obtained for the formation energy is 42 kJ/mol of formula units. The size of the total moment comes out at 0.000 μB/atom.